Record 1
## Tm4CuSe2 (GGA-PBE)

Data for a relaxed structure of Tm4CuSe2.

Results
* density of states at the Fermi level: 0.615 states/eV per atom
* formation energy (no corrections): -679 kJ/mol of formula units
* electronic total energy: -143.97 eV for the cell shown
* magnetization: 0.00 Bohr magnetons per cell

Unit cell a=3.893 b=12.761 c=13.763 alpha=90.00 beta=90.00 gamma=90.00
Space group Cmcm (No. 63)
Inequivalent atoms, fractional coordinates:
Tm1 0.000 0.000 0.000 (multiplicity 4)
Tm2 0.000 0.285 0.129 (multiplicity 8)
Tm3 0.000 0.451 0.750 (multiplicity 4)
Cu1 0.000 0.111 0.750 (multiplicity 4)
Se1 0.000 0.359 0.563 (multiplicity 8)

---

Record 2
## SrAcNd2 (GGA-PBE)

Data for a relaxed structure of SrAcNd2.

Results
* density of states at the Fermi level: 1.763 states/eV per atom
* energy relative to the lowest polymorph listed for this composition: 13 meV/atom
* electronic total energy: -44.69 eV for the cell shown
* energy of formation: 0.11 eV per atom
* magnetization: 0.00 Bohr magnetons per cell

Unit cell a=3.8679 b=3.8679 c=38.2114 alpha=90.00 beta=90.00 gamma=120.00
Space group R3m (No. 160, hexagonal axes)
Inequivalent atoms, fractional coordinates:
Sr1 0.0000 0.0000 0.0000 (multiplicity 3)
Ac1 0.0000 0.0000 0.1664 (multiplicity 3)
Nd1 0.0000 0.0000 0.4195 (multiplicity 3)
Nd2 0.0000 0.0000 0.5804 (multiplicity 3)